1.
Material: LaHgN2F
Method: DFT, PBE
State: relaxed

Values from the calculation:
Formation energy (no corrections) ... 0.0 eV/f.u.
N(E_F) ... 0.528 states/eV/atom
Electronic total energy ... -23.7 eV/cell
Total magnetic moment ... 0.249 μB per cell
E above lowest polymorph ... 0.079 eV per atom

Unit cell a=4.526 b=4.526 c=4.603 alpha=90.00 beta=90.00 gamma=90.00
Positions (direct):
La 0.000 0.000 0.000
Hg 0.500 0.500 0.500
N 0.000 0.500 0.000
N 0.500 0.000 0.000
F 0.000 0.000 0.500

2.
Material: Li2LaCl
Method: DFT, PBE
State: relaxed

Values from the calculation:
Formation energy (no corrections) ... -1.8 eV/f.u.
N(E_F) ... 0.753 states/eV/atom
Electronic total energy ... -12.4 eV/cell
Total magnetic moment ... 0.008 μB per cell
E above lowest polymorph ... 0.270 eV per atom

Unit cell a=3.499 b=5.491 c=5.703 alpha=90.00 beta=90.00 gamma=90.00
Positions (direct):
Li 0.000 0.000 0.236
Li 0.000 0.000 0.764
La 0.500 0.500 0.000
Cl 0.500 0.500 0.500

3.
Material: CsUZnF6
Method: DFT, PBE
State: relaxed

Values from the calculation:
Formation energy (no corrections) ... -25.9 eV/f.u.
N(E_F) ... 0.674 states/eV/atom
Electronic total energy ... -101.0 eV/cell
Total magnetic moment ... 6.001 μB per cell

Unit cell a=7.861 b=7.861 c=7.861 alpha=123.08 beta=119.28 gamma=88.00
Positions (direct):
Cs 0.399 0.149 0.250
Cs 0.601 0.851 0.750
U 0.000 0.000 0.500
U 0.000 0.500 0.000
Zn 0.000 0.500 0.500
Zn 0.500 0.500 0.000
F 0.108 0.437 0.281
F 0.108 0.827 0.671
F 0.127 0.877 0.250
F 0.275 0.525 0.750
F 0.344 0.173 0.781
F 0.344 0.563 0.171
F 0.656 0.437 0.829
F 0.656 0.827 0.219
F 0.725 0.475 0.250
F 0.873 0.123 0.750
F 0.892 0.173 0.329
F 0.892 0.563 0.719

4.
Material: Ce2PbF
Method: DFT, PBE
State: relaxed

Values from the calculation:
Formation energy (no corrections) ... -4.2 eV/f.u.
N(E_F) ... 3.144 states/eV/atom
Electronic total energy ... -21.6 eV/cell
Total magnetic moment ... 3.379 μB per cell
E above lowest polymorph ... 0.135 eV per atom

Unit cell a=3.427 b=3.427 c=7.996 alpha=90.00 beta=90.00 gamma=90.00
Positions (direct):
Ce 0.000 0.000 0.211
Ce 0.000 0.000 0.789
Pb 0.500 0.500 0.500
F 0.500 0.500 0.000

5.
Material: Ca2PbW
Method: DFT, PBE
State: relaxed

Values from the calculation:
N(E_F) ... 0.650 states/eV/atom
Electronic total energy ... -18.5 eV/cell
Calculated formation energy ... 550.1 meV/atom
Total magnetic moment ... 0.000 μB per cell

Unit cell a=10.815 b=10.815 c=10.815 alpha=17.64 beta=17.64 gamma=17.64
Positions (direct):
Ca 0.243 0.243 0.243
Ca 0.757 0.757 0.757
Pb 0.000 0.000 0.000
W 0.500 0.500 0.500

6.
Material: Nd4Ho3Er4
Method: DFT, PBE
State: relaxed

Values from the calculation:
N(E_F) ... 1.767 states/eV/atom
Electronic total energy ... -50.6 eV/cell
Calculated formation energy ... 38.5 meV/atom
Total magnetic moment ... 0.000 μB per cell
E above lowest polymorph ... 0.000 eV per atom

Unit cell a=3.596 b=5.699 c=17.733 alpha=99.20 beta=90.01 gamma=90.00
Positions (direct):
Nd 0.000 0.220 0.439
Nd 0.000 0.780 0.561
Nd 0.001 0.403 0.807
Nd 0.999 0.597 0.193
Ho 0.499 0.131 0.260
Ho 0.500 0.500 0.000
Ho 0.501 0.869 0.740
Er 0.002 0.955 0.911
Er 0.499 0.689 0.378
Er 0.501 0.311 0.622
Er 0.998 0.045 0.089

7.
Material: LiGePb2
Method: DFT, PBE
State: relaxed

Values from the calculation:
N(E_F) ... 0.428 states/eV/atom
Electronic total energy ... -13.9 eV/cell
Calculated formation energy ... 3.7 meV/atom
Total magnetic moment ... 0.000 μB per cell

Unit cell a=3.724 b=3.724 c=7.078 alpha=90.00 beta=90.00 gamma=90.00
Positions (direct):
Li 0.000 0.000 0.000
Ge 0.000 0.000 0.500
Pb 0.500 0.500 0.249
Pb 0.500 0.500 0.751

8.
Material: Rb2AcHgO4
Method: DFT, PBE
State: relaxed

Values from the calculation:
Formation energy (no corrections) ... -12.1 eV/f.u.
N(E_F) ... 0.745 states/eV/atom
Electronic total energy ... -38.2 eV/cell
Total magnetic moment ... 0.801 μB per cell

Unit cell a=6.802 b=3.631 c=7.291 alpha=90.00 beta=114.11 gamma=90.00
Positions (direct):
Rb 0.000 0.000 0.000
Rb 0.500 0.500 0.000
Ac 0.000 0.500 0.500
Hg 0.500 0.000 0.500
O 0.192 0.000 0.725
O 0.289 0.500 0.336
O 0.711 0.500 0.664
O 0.808 0.000 0.275